Compound: Ba3Ni3I
Source: Alexandria
Functional: PBE
Structure: optimized geometry

Values from the calculation:
* formation energy without anion corrections: -33.10 kJ/mol of atoms
* N(E_F): 4.9 states/eV/f.u.
* SG: P6_3/m, No. 176
* total magnetization: 0.0 μB/cell

Cell: 11.1116 11.1116 4.2272 Å, 90.00 90.00 120.00°
Closest atoms and distances in Å follow each position.
Sites, in units of the cell vectors:
Ba: 0.0782 0.3642 0.2500  4 Ni 3.11-3.30
Ba: 0.2860 0.9218 0.2500  4 Ni 3.11-3.30
Ba: 0.3642 0.2860 0.7500  4 Ni 3.11-3.30
Ba: 0.6358 0.7140 0.2500  4 Ni 3.11-3.30
Ba: 0.7140 0.0782 0.7500  4 Ni 3.11-3.30
Ba: 0.9218 0.6358 0.7500  4 Ni 3.11-3.30
Ni: 0.0226 0.1373 0.7500  6 Ni 2.45-2.54
Ni: 0.1147 0.9774 0.7500  6 Ni 2.45-2.54
Ni: 0.1373 0.1147 0.2500  6 Ni 2.45-2.54
Ni: 0.8627 0.8853 0.7500  6 Ni 2.45-2.54
Ni: 0.8853 0.0226 0.2500  6 Ni 2.45-2.54
Ni: 0.9774 0.8627 0.2500  6 Ni 2.45-2.54
I: 0.3333 0.6667 0.7500  6 Ba 3.78, 2 I 4.23
I: 0.6667 0.3333 0.2500  6 Ba 3.78, 2 I 4.23